1.
Computed, not measured: an optimized crystal structure of CdTe at the PBE level of DFT.

Results
M_tot   0.00 Bohr magnetons per cell
Energy   -2.362 eV/atom
E_form (uncorrected)   -0.33 eV per atom

Cell: 4.711 4.711 6.114 Å, 90.00 90.00 90.00°
Element x y z (fractional)
Te: 0.250 0.250 0.286
Te: 0.750 0.750 0.714
Cd: 0.250 0.750 0.000
Cd: 0.750 0.250 0.000

2.
Computed, not measured: an optimized crystal structure of Tb4Te5H2 at the PBE level of DFT.

Results
M_tot   0.00 Bohr magnetons per cell
Energy   -4.888 eV/atom

Cell: 4.222 8.521 10.869 Å, 103.91 101.20 90.00°
Element x y z (fractional)
Tb: 0.670 0.533 0.340
Tb: 0.959 0.730 0.917
Tb: 0.330 0.467 0.660
Tb: 0.041 0.270 0.083
Te: 0.093 0.659 0.187
Te: 0.907 0.341 0.813
Te: 0.188 0.280 0.376
Te: 0.500 0.000 0.000
Te: 0.812 0.720 0.624
H: 0.576 0.354 0.152
H: 0.424 0.646 0.848

3.
Computed, not measured: an optimized crystal structure of LaSc2Ir at the PBE level of DFT.

Results
E_form   -0.3 eV/f.u.
M_tot   0.00 Bohr magnetons per cell
Polymorph energy (0 for the lowest one)   1.680 eV per formula unit
Energy   -6.684 eV/atom
DOS(E_F)   4.3 states/eV per cell

Cell: 5.909 5.555 3.213 Å, 81.50 74.58 117.06°
Element x y z (fractional)
Ir: 0.000 0.500 0.500
La: 0.500 0.500 0.000
Sc: 0.000 0.000 0.000
Sc: 0.500 0.000 0.500

> Number 2 is which compound?

Tb4Te5H2

> energy of number 3 (LaSc2Ir)?

-6.684 eV/atom